[1]
Compound: Tb2DyAg3Se6
Source: the Alexandria database
Functional: PBE
Structure: relaxed

Summary:
As for the total magnetic moment: 0.00 μB per formula unit. The calculation puts the raw formation energy at -1.1671 eV per atom. The calculation puts the final energy at -4.777 eV/atom.

abc: 4.188 8.072 9.090
angles: 99.80 103.32 90.00
Sites, in units of the cell vectors:
Tb (0.833, 0.670, 0.666)
Tb (0.167, 0.330, 0.334)
Dy (0.500, 0.000, 0.000)
Ag (0.500, 0.500, 0.000)
Ag (0.831, 0.173, 0.663)
Ag (0.169, 0.827, 0.337)
Se (0.335, 0.918, 0.669)
Se (0.667, 0.579, 0.334)
Se (0.665, 0.082, 0.331)
Se (0.001, 0.247, 0.002)
Se (0.999, 0.753, 0.998)
Se (0.333, 0.421, 0.666)


[2]
Compound: SrYSc2
Source: the Alexandria database
Functional: PBE
Structure: relaxed

Summary:
For the relative energy among the computed polymorphs, the calculation gives 0.154 eV per atom. As for the energy relative to the elements: 303 meV per atom. As for the total magnetic moment: 0.00 μB per formula unit. The calculation puts the final energy at -4.899 eV/atom.

abc: 5.608 5.608 5.608
angles: 60.00 60.00 60.00
Sites, in units of the cell vectors:
Y (0.500, 0.500, 0.500)
Sr (0.000, 0.000, 0.000)
Sc (0.250, 0.250, 0.250)
Sc (0.750, 0.750, 0.750)


[3]
Compound: ThNiBiPd
Source: the Alexandria database
Functional: PBE
Structure: relaxed

Summary:
As for the energy relative to the elements: -454 meV per atom. As for the total magnetic moment: 0.00 μB per formula unit. The calculation puts the final energy at -6.023 eV/atom.

abc: 4.935 4.935 4.935
angles: 60.00 60.00 60.00
Sites, in units of the cell vectors:
Ni (0.250, 0.250, 0.250)
Pd (0.750, 0.750, 0.750)
Bi (0.500, 0.500, 0.500)
Th (0.000, 0.000, 0.000)


[4]
Compound: MgB6H2
Source: the Alexandria database
Functional: PBE
Structure: relaxed

Summary:
As for the total magnetic moment: 0.00 μB per formula unit. The calculation puts the final energy at -5.382 eV/atom.

abc: 6.528 3.230 5.536
angles: 125.65 66.29 119.56
Sites, in units of the cell vectors:
Mg (0.000, 0.000, 0.000)
B (0.584, 0.729, 0.145)
B (0.500, 0.752, 0.500)
B (0.713, 0.457, 0.245)
B (0.416, 0.271, 0.855)
B (0.500, 0.248, 0.500)
B (0.287, 0.543, 0.755)
H (0.915, 0.736, 0.322)
H (0.085, 0.264, 0.678)


Which value of final energy does entry 1 give?
-4.777 eV/atom


Number 1 is which compound?
Tb2DyAg3Se6